Entry 1:
Crystalline Pr3Ru at its relaxed geometry. Source: Alexandria, functional PBE.

Computed properties:
- total magnetization (μB/atom) = 0.00
- total DFT energy (no corrections) (eV per atom) = -5.992
- calculated volume (Å³/cell) = 949.3

The structure in CIF format:
```
data_Pr3Ru
_chemical_formula_sum 'Pr24 Ru8'
_cell_length_a 11.9775
_cell_length_b 11.9775
_cell_length_c 6.6174
_cell_angle_alpha 90.00
_cell_angle_beta 90.00
_cell_angle_gamma 90.00
_symmetry_space_group_name_H-M 'P 42/n'
_symmetry_Int_Tables_number 86
loop_
_symmetry_equiv_pos_as_xyz
'x,y,z'
'-x,-y,-z'
'-y,x+1/2,z+1/2'
'y,-x+1/2,-z+1/2'
'-x+1/2,-y+1/2,z'
'x+1/2,y+1/2,-z'
'y+1/2,-x,z+1/2'
'-y+1/2,x,-z+1/2'
loop_
_atom_site_label
_atom_site_type_symbol
_atom_site_fract_x
_atom_site_fract_y
_atom_site_fract_z
Pr1 Pr 0.0310 0.9024 0.1894
Pr2 Pr 0.1103 0.8294 0.6890
Pr3 Pr 0.1214 0.3103 0.0220
Ru1 Ru 0.0557 0.3175 0.5016
```

=====

Entry 2:
Crystalline TaCd3Te at its relaxed geometry. Source: Alexandria, functional PBE.

Computed properties:
- total magnetization (μB/atom) = 0.73
- ΔE_f (raw) (eV/atom) = 1.467
- calculated volume (Å³/cell) = 167.8
- excess energy over the best structure of this formula in the dataset (meV/atom) = 396

The structure in CIF format:
```
data_TaCd3Te
_chemical_formula_sum 'Ta1 Cd3 Te1'
_cell_length_a 5.5157
_cell_length_b 5.5157
_cell_length_c 5.5157
_cell_angle_alpha 90.00
_cell_angle_beta 90.00
_cell_angle_gamma 90.00
_symmetry_space_group_name_H-M 'P m -3 m'
_symmetry_Int_Tables_number 221
_symmetry_space_group_name_Hall '-P 4 2 3'
loop_
_atom_site_label
_atom_site_type_symbol
_atom_site_fract_x
_atom_site_fract_y
_atom_site_fract_z
Ta1 Ta 0.0000 0.0000 0.0000
Cd1 Cd 0.0000 0.5000 0.5000
Te1 Te 0.5000 0.5000 0.5000
```

=====

Entry 3:
Crystalline Sm12Hg5Ru2 at its relaxed geometry. Source: Alexandria, functional PBE.

Computed properties:
- total magnetization (μB/atom) = 0.00
- total DFT energy (no corrections) (eV per atom) = -4.208
- calculated volume (Å³/cell) = 1228.6

The structure in CIF format:
```
data_Sm12Hg5Ru2
_chemical_formula_sum 'Sm24 Hg10 Ru4'
_cell_length_a 17.0637
_cell_length_b 7.7609
_cell_length_c 9.7356
_cell_angle_alpha 90.00
_cell_angle_beta 107.66
_cell_angle_gamma 90.00
_symmetry_space_group_name_H-M 'C 1 2/m 1'
_symmetry_Int_Tables_number 12
_symmetry_space_group_name_Hall '-C 2y'
loop_
_atom_site_label
_atom_site_type_symbol
_atom_site_fract_x
_atom_site_fract_y
_atom_site_fract_z
Sm1 Sm 0.0021 0.0000 0.2339
Sm2 Sm 0.0110 0.5000 0.8220
Sm3 Sm 0.1459 0.2504 0.5714
Sm4 Sm 0.1660 0.2366 0.0971
Hg1 Hg 0.0000 0.5000 0.5000
Hg2 Hg 0.1902 0.0000 0.8412
Hg3 Hg 0.2029 0.0000 0.3716
Ru1 Ru 0.0000 0.2126 0.0000
```

=====

Entry 4:
Crystalline CaLuIrRh at its relaxed geometry. Source: Alexandria, functional PBE.

Computed properties:
- total magnetization (μB/atom) = 0.00
- total DFT energy (no corrections) (eV per atom) = -6.298
- calculated volume (Å³/cell) = 306.9

The structure in CIF format:
```
data_CaLuIrRh
_chemical_formula_sum 'Ca4 Lu4 Ir4 Rh4'
_cell_length_a 6.7453
_cell_length_b 6.7453
_cell_length_c 6.7453
_cell_angle_alpha 90.00
_cell_angle_beta 90.00
_cell_angle_gamma 90.00
_symmetry_space_group_name_H-M 'F -4 3 m'
_symmetry_Int_Tables_number 216
_symmetry_space_group_name_Hall 'F -4 2 3'
loop_
_atom_site_label
_atom_site_type_symbol
_atom_site_fract_x
_atom_site_fract_y
_atom_site_fract_z
Ca1 Ca 0.0000 0.0000 0.0000
Lu1 Lu 0.0000 0.0000 0.5000
Ir1 Ir 0.2500 0.2500 0.7500
Rh1 Rh 0.2500 0.2500 0.2500
```

=====

Entry 5:
Crystalline Ac3AlCu3 at its relaxed geometry. Source: Alexandria, functional PBE.

Computed properties:
- total magnetization (μB/atom) = 0.00
- calculated volume (Å³/cell) = 431.4
- excess energy over the best structure of this formula in the dataset (meV/atom) = 215

The structure in CIF format:
```
data_Ac3AlCu3
_chemical_formula_sum 'Ac6 Al2 Cu6'
_cell_length_a 9.0920
_cell_length_b 9.0920
_cell_length_c 6.0263
_cell_angle_alpha 90.00
_cell_angle_beta 90.00
_cell_angle_gamma 120.00
_symmetry_space_group_name_H-M 'P 63/m'
_symmetry_Int_Tables_number 176
_symmetry_space_group_name_Hall '-P 6c'
loop_
_atom_site_label
_atom_site_type_symbol
_atom_site_fract_x
_atom_site_fract_y
_atom_site_fract_z
Ac1 Ac 0.0622 0.7024 0.2500
Al1 Al 0.3333 0.6667 0.7500
Cu1 Cu 0.0715 0.6860 0.7500
```

=====

Entry 6:
Crystalline HfPaTaPd at its relaxed geometry. Source: Alexandria, functional PBE.

Computed properties:
- total magnetization (μB/atom) = 0.00
- total DFT energy (no corrections) (eV per atom) = -9.287
- calculated volume (Å³/cell) = 325.7

The structure in CIF format:
```
data_HfPaTaPd
_chemical_formula_sum 'Hf4 Pa4 Ta4 Pd4'
_cell_length_a 6.8802
_cell_length_b 6.8802
_cell_length_c 6.8802
_cell_angle_alpha 90.00
_cell_angle_beta 90.00
_cell_angle_gamma 90.00
_symmetry_space_group_name_H-M 'F -4 3 m'
_symmetry_Int_Tables_number 216
_symmetry_space_group_name_Hall 'F -4 2 3'
loop_
_atom_site_label
_atom_site_type_symbol
_atom_site_fract_x
_atom_site_fract_y
_atom_site_fract_z
Hf1 Hf 0.0000 0.0000 0.0000
Pa1 Pa 0.0000 0.0000 0.5000
Ta1 Ta 0.2500 0.2500 0.2500
Pd1 Pd 0.2500 0.2500 0.7500
```

=====

Entry 7:
Crystalline CeTmTc2 at its relaxed geometry. Source: Alexandria, functional PBE.

Computed properties:
- total magnetization (μB/atom) = 0.00
- calculated volume (Å³/cell) = 78.9
- excess energy over the best structure of this formula in the dataset (meV/atom) = 0

The structure in CIF format:
```
data_CeTmTc2
_chemical_formula_sum 'Ce1 Tm1 Tc2'
_cell_length_a 3.3975
_cell_length_b 3.3975
_cell_length_c 6.8347
_cell_angle_alpha 90.00
_cell_angle_beta 90.00
_cell_angle_gamma 90.00
_symmetry_space_group_name_H-M 'P 4/m m m'
_symmetry_Int_Tables_number 123
_symmetry_space_group_name_Hall '-P 4 2'
loop_
_atom_site_label
_atom_site_type_symbol
_atom_site_fract_x
_atom_site_fract_y
_atom_site_fract_z
Ce1 Ce 0.0000 0.0000 0.0000
Tm1 Tm 0.0000 0.0000 0.5000
Tc1 Tc 0.5000 0.5000 0.2292
```

=====

Entry 8:
Crystalline CaCuRu2 at its relaxed geometry. Source: Alexandria, functional PBE.

Computed properties:
- total magnetization (μB/atom) = 0.55
- calculated volume (Å³/cell) = 257.8
- excess energy over the best structure of this formula in the dataset (meV/atom) = 455

The structure in CIF format:
```
data_CaCuRu2
_chemical_formula_sum 'Ca4 Cu4 Ru8'
_cell_length_a 6.3642
_cell_length_b 6.3642
_cell_length_c 6.3642
_cell_angle_alpha 90.00
_cell_angle_beta 90.00
_cell_angle_gamma 90.00
_symmetry_space_group_name_H-M 'F m -3 m'
_symmetry_Int_Tables_number 225
_symmetry_space_group_name_Hall '-F 4 2 3'
loop_
_atom_site_label
_atom_site_type_symbol
_atom_site_fract_x
_atom_site_fract_y
_atom_site_fract_z
Ca1 Ca 0.0000 0.0000 0.0000
Cu1 Cu 0.0000 0.0000 0.5000
Ru1 Ru 0.2500 0.2500 0.2500
```

=====

Entry 9:
Crystalline BaInAu6 at its relaxed geometry. Source: Alexandria, functional PBE.

Computed properties:
- total magnetization (μB/atom) = 0.00
- total DFT energy (no corrections) (eV per atom) = -3.149
- calculated volume (Å³/cell) = 180.0

The structure in CIF format:
```
data_BaInAu6
_chemical_formula_sum 'Ba1 In1 Au6'
_cell_length_a 5.6462
_cell_length_b 5.6462
_cell_length_c 5.6462
_cell_angle_alpha 90.00
_cell_angle_beta 90.00
_cell_angle_gamma 90.00
_symmetry_space_group_name_H-M 'P m -3'
_symmetry_Int_Tables_number 200
_symmetry_space_group_name_Hall '-P 2 2 3'
loop_
_atom_site_label
_atom_site_type_symbol
_atom_site_fract_x
_atom_site_fract_y
_atom_site_fract_z
Ba1 Ba 0.0000 0.0000 0.0000
In1 In 0.5000 0.5000 0.5000
Au1 Au 0.0000 0.2573 0.5000
```

=====

Entry 10:
Crystalline Th2ZnCo5 at its relaxed geometry. Source: Alexandria, functional PBE.

Computed properties:
- total magnetization (μB/atom) = 0.24
- total DFT energy (no corrections) (eV per atom) = -6.541
- calculated volume (Å³/cell) = 260.1

The structure in CIF format:
```
data_Th2ZnCo5
_chemical_formula_sum 'Th4 Zn2 Co10'
_cell_length_a 5.7012
_cell_length_b 5.7012
_cell_length_c 8.0016
_cell_angle_alpha 90.00
_cell_angle_beta 90.00
_cell_angle_gamma 90.00
_symmetry_space_group_name_H-M 'I 4 m m'
_symmetry_Int_Tables_number 107
_symmetry_space_group_name_Hall 'I 4 -2'
loop_
_atom_site_label
_atom_site_type_symbol
_atom_site_fract_x
_atom_site_fract_y
_atom_site_fract_z
Th1 Th 0.0000 0.5000 0.0000
Zn1 Zn 0.0000 0.0000 0.3042
Co1 Co 0.0000 0.0000 0.9928
Co2 Co 0.2099 0.2099 0.7449
```

=====

Entry 11:
Crystalline Ba4Na5Sr at its relaxed geometry. Source: Alexandria, functional PBE.

Computed properties:
- total magnetization (μB/atom) = 0.00
- total DFT energy (no corrections) (eV per atom) = -1.583
- calculated volume (Å³/cell) = 504.8

The structure in CIF format:
```
data_Ba4Na5Sr
_chemical_formula_sum 'Ba4 Na5 Sr1'
_cell_length_a 4.6798
_cell_length_b 4.6798
_cell_length_c 23.0501
_cell_angle_alpha 90.00
_cell_angle_beta 90.00
_cell_angle_gamma 90.00
_symmetry_space_group_name_H-M 'P 4/m m m'
_symmetry_Int_Tables_number 123
_symmetry_space_group_name_Hall '-P 4 2'
loop_
_atom_site_label
_atom_site_type_symbol
_atom_site_fract_x
_atom_site_fract_y
_atom_site_fract_z
Ba1 Ba 0.0000 0.0000 0.1012
Ba2 Ba 0.0000 0.0000 0.3035
Na1 Na 0.5000 0.5000 0.0000
Na2 Na 0.5000 0.5000 0.2025
Na3 Na 0.5000 0.5000 0.4066
Sr1 Sr 0.0000 0.0000 0.5000
```

=====

Entry 12:
Crystalline CsVS2 at its relaxed geometry. Source: Alexandria, functional PBE.

Computed properties:
- total magnetization (μB/atom) = 0.12
- ΔE_f (raw) (eV/atom) = -1.130
- calculated volume (Å³/cell) = 250.1

The structure in CIF format:
```
data_CsVS2
_chemical_formula_sum 'Cs2 V2 S4'
_cell_length_a 5.6199
_cell_length_b 7.3681
_cell_length_c 7.3757
_cell_angle_alpha 118.49
_cell_angle_beta 100.96
_cell_angle_gamma 100.47
_symmetry_space_group_name_H-M 'P -1'
_symmetry_Int_Tables_number 2
_symmetry_space_group_name_Hall '-P 1'
loop_
_atom_site_label
_atom_site_type_symbol
_atom_site_fract_x
_atom_site_fract_y
_atom_site_fract_z
Cs1 Cs 0.2483 0.1522 0.3484
V1 V 0.2499 0.5014 0.9984
S1 S 0.0924 0.5838 0.2764
S2 S 0.4110 0.2249 0.9200
```